Density functional theory data (GGA-PBE) for a relaxed structure of TiGa2SiGe.

a = 4.6735 Å, b = 4.6735 Å, c = 4.8121 Å
α = 90.00°, β = 90.00°, γ = 90.00°
Last column: nearest neighbours and their distance in Å.
Space group P4/mmm (No. 123)
Inequivalent atoms, fractional coordinates:
Ti1 0.0000 0.0000 0.0000  2 Si 2.41
Ga1 0.0000 0.5000 0.5000  2 Si 2.34
Si1 0.0000 0.0000 0.5000  4 Ga 2.34, 2 Ti 2.41
Ge1 0.5000 0.5000 0.0000  4 Ti 3.30, 8 Ga 3.35

## Properties
As for the energy: -21.6 eV for the cell shown.

Density functional theory data (GGA-PBE) for a relaxed structure of ZrBr2Cl6.

a = 15.9750 Å, b = 13.0240 Å, c = 7.1241 Å
α = 90.00°, β = 108.85°, γ = 90.00°
Last column: nearest neighbours and their distance in Å.
Space group C2/c (No. 15)
Inequivalent atoms, fractional coordinates:
Zr1 0.0000 0.0815 0.2500  4 Cl 2.34-2.59
Br1 0.1397 0.5001 0.0006  2 Cl 2.40
Cl1 0.0822 0.0687 0.6275  2 Zr 2.59-2.66
Cl2 0.1105 0.1971 0.2375  1 Zr 2.34
Cl3 0.1397 0.3768 0.7510  2 Br 2.40

## Properties
As for the energy: -127.2 eV for the cell shown.

Density functional theory data (GGA-PBE) for a relaxed structure of BiAu.

a = 7.4790 Å, b = 9.2142 Å, c = 11.8310 Å
α = 90.00°, β = 90.00°, γ = 90.00°
Last column: nearest neighbours and their distance in Å.
Space group Fddd (No. 70, origin choice 2)
Inequivalent atoms, fractional coordinates:
Bi1 0.1250 0.3305 0.1250  6 Au 2.98-3.07
Au1 0.0674 0.3750 0.8750  1 Au 2.88, 6 Bi 2.98-3.07

## Properties
The value obtained for the formation enthalpy at 0 K is -0.022 eV/atom.

Density functional theory data (GGA-PBE) for a relaxed structure of Ho2Cd5In.

a = 3.5427 Å, b = 22.5345 Å, c = 9.9759 Å
α = 90.00°, β = 90.00°, γ = 90.00°
Last column: nearest neighbours and their distance in Å.
Space group Cmcm (No. 63)
Inequivalent atoms, fractional coordinates:
Ho1 0.0000 0.0000 0.0000  4 In 3.33, 8 Cd 3.33-3.44, 2 Ho 3.54
Ho2 0.0000 0.1795 0.2500  2 In 3.25, 10 Cd 3.27-3.63, 2 Ho 3.54
Cd1 0.0000 0.2169 0.6041  5 Cd 2.91-3.11
Cd2 0.0000 0.3749 0.5033  3 Cd 2.82-2.93, 1 In 2.88
Cd3 0.0000 0.4304 0.2500  2 Cd 2.82, 1 In 2.88
In1 0.0000 0.4417 0.7500  3 Cd 2.88

## Properties
The value obtained for the formation enthalpy at 0 K is -0.220 eV/atom.

Density functional theory data (GGA-PBE) for a relaxed structure of V2Re2Sn.

a = 7.4665 Å, b = 7.4665 Å, c = 2.9229 Å
α = 90.00°, β = 90.00°, γ = 90.00°
Last column: nearest neighbours and their distance in Å.
Space group P4/mbm (No. 127)
Inequivalent atoms, fractional coordinates:
V1 0.1563 0.3437 0.0000  6 Re 2.62-2.66, 2 V 2.92
Re1 0.1336 0.6336 0.5000  6 V 2.62-2.66, 3 Re 2.82-2.92, 2 Sn 2.91
Sn1 0.0000 0.0000 0.5000  4 Re 2.91, 2 Sn 2.92, 8 V 3.18

## Properties
The value obtained for the formation enthalpy at 0 K is 0.278 eV/atom. The energy relative to the lowest polymorph listed for this composition is 0.0 meV per atom.

Density functional theory data (GGA-PBE) for a relaxed structure of LiFeCu2.

a = 2.5509 Å, b = 2.5509 Å, c = 25.8322 Å
α = 90.00°, β = 90.00°, γ = 120.00°
Last column: nearest neighbours and their distance in Å.
Space group R-3m (No. 166, hexagonal axes)
Inequivalent atoms, fractional coordinates:
Li1 0.0000 0.0000 0.0000  6 Li 2.55, 6 Cu 2.64
Fe1 0.0000 0.0000 0.5000  6 Fe 2.55, 6 Cu 2.58
Cu1 0.0000 0.0000 0.2486  6 Cu 2.55, 3 Fe 2.58, 3 Li 2.64

## Properties
The value obtained for the formation enthalpy at 0 K is 0.109 eV/atom.

Density functional theory data (GGA-PBE) for a relaxed structure of NaCa2Cu2.

a = 8.0050 Å, b = 8.0050 Å, c = 3.9276 Å
α = 90.00°, β = 90.00°, γ = 90.00°
Last column: nearest neighbours and their distance in Å.
Space group P4/mbm (No. 127)
Inequivalent atoms, fractional coordinates:
Na1 0.0000 0.0000 0.0000  4 Cu 3.24, 8 Ca 3.55
Ca1 0.1725 0.3275 0.5000  6 Cu 3.04-3.14
Cu1 0.1108 0.6108 0.0000  1 Cu 2.51

## Properties
The value obtained for the formation enthalpy at 0 K is -0.046 eV/atom. The energy relative to the lowest polymorph listed for this composition is 0.0 meV per atom.

Density functional theory data (GGA-PBE) for a relaxed structure of Ho4TcCl5.

a = 17.7387 Å, b = 3.6836 Å, c = 8.8999 Å
α = 90.00°, β = 104.98°, γ = 90.00°
Last column: nearest neighbours and their distance in Å.
Space group C2/m (No. 12)
Inequivalent atoms, fractional coordinates:
Ho1 0.0064 0.0000 0.2432  2 Tc 2.82, 4 Cl 2.83-3.11
Ho2 0.1476 0.5000 0.0770  1 Tc 2.53, 4 Cl 2.75-2.79
Tc1 0.0000 0.5000 0.0000  6 Ho 2.53-2.82
Cl1 0.0000 0.5000 0.5000  4 Ho 2.96
Cl2 0.1712 0.0000 0.3148  3 Ho 2.75-2.83
Cl3 0.1748 0.0000 0.8608  4 Ho 2.79-3.11

## Properties
As for the energy: -105.6 eV for the cell shown.

| no. | DOS at the Fermi energy (states/eV/f.u.) |
| --- | --- |
| 1 | 4.86 |
| 2 | 0.00 |
| 3 | 1.05 |
| 4 | 3.29 |
| 5 | 6.98 |
| 6 | 3.38 |
| 7 | 3.59 |
| 8 | 3.78 |